A relaxed Na3Np3WS8 crystal. Source: Alexandria via LeMat-Bulk, functional PBE.

abc: 8.1651 8.1651 8.1651
angles: 56.57 56.57 56.57
Closest atoms and distances in Å follow each position.
Positions (direct):
Na: 0.0000 0.5000 0.5000  6 S 2.89-2.91
Na: 0.5000 0.0000 0.5000  6 S 2.89-2.91
Na: 0.5000 0.5000 0.0000  6 S 2.89-2.91
Np: 0.0000 0.0000 0.5000  6 S 2.74-2.75
Np: 0.0000 0.5000 0.0000  6 S 2.74-2.75
Np: 0.5000 0.0000 0.0000  6 S 2.74-2.75
W: 0.5000 0.5000 0.5000  6 S 2.52
S: 0.2441 0.2441 0.2441  3 Np 2.74, 3 Na 2.89
S: 0.2645 0.7244 0.7244  1 W 2.52, 2 Np 2.75
S: 0.2756 0.2756 0.7355  1 W 2.52, 2 Np 2.75
S: 0.2756 0.7355 0.2756  1 W 2.52, 2 Np 2.75
S: 0.7244 0.2645 0.7244  1 W 2.52, 2 Np 2.75
S: 0.7244 0.7244 0.2645  1 W 2.52, 2 Np 2.75
S: 0.7355 0.2756 0.2756  1 W 2.52, 2 Np 2.75
S: 0.7559 0.7559 0.7559  3 Np 2.74, 3 Na 2.89

Calculated values
Uncorrected formation energy, meV/atom: -1141.9
Symmetry: R-3m
Total moment, μB per atom: 0.935